# PBE Cs2Pu3PtO12, relaxed
# SG = No. 166
# DOS(E_F) = 7.36 states/eV/f.u.
# Energy relative to the elements, uncorrected = -3706 kJ/mol of formula units
# Raw total energy = -8.2583 eV/atom
data_Cs2Pu3PtO12
_cell_length_a 7.549
_cell_length_b 7.549
_cell_length_c 7.549
_cell_angle_alpha 62.67
_cell_angle_beta 62.67
_cell_angle_gamma 62.67
_symmetry_space_group_name_H-M 'P 1'
_symmetry_Int_Tables_number 1
_symmetry_space_group_name_Hall 'P 1'
loop_
_atom_site_label
_atom_site_type_symbol
_atom_site_fract_x
_atom_site_fract_y
_atom_site_fract_z
Cs1 Cs 0.127 0.127 0.127
Cs2 Cs 0.873 0.873 0.873
Pu1 Pu 0.000 0.500 0.500
Pu2 Pu 0.500 0.000 0.500
Pu3 Pu 0.500 0.500 0.000
Pt1 Pt 0.500 0.500 0.500
O1 O 0.181 0.181 0.562
O2 O 0.181 0.562 0.181
O3 O 0.191 0.564 0.564
O4 O 0.436 0.436 0.809
O5 O 0.436 0.809 0.436
O6 O 0.438 0.819 0.819
O7 O 0.562 0.181 0.181
O8 O 0.564 0.191 0.564
O9 O 0.564 0.564 0.191
O10 O 0.809 0.436 0.436
O11 O 0.819 0.438 0.819
O12 O 0.819 0.819 0.438

# PBE Cs2PuPtO6, relaxed
# SG = No. 164
# DOS(E_F) = 6.98 states/eV/f.u.
# Energy relative to the elements, uncorrected = -1613 kJ/mol of formula units
# Raw total energy = -6.8547 eV/atom
data_Cs2PuPtO6
_cell_length_a 6.623
_cell_length_b 6.623
_cell_length_c 5.629
_cell_angle_alpha 90.00
_cell_angle_beta 90.00
_cell_angle_gamma 120.00
_symmetry_space_group_name_H-M 'P 1'
_symmetry_Int_Tables_number 1
_symmetry_space_group_name_Hall 'P 1'
loop_
_atom_site_label
_atom_site_type_symbol
_atom_site_fract_x
_atom_site_fract_y
_atom_site_fract_z
Cs1 Cs 0.333 0.667 0.332
Cs2 Cs 0.667 0.333 0.668
Pu1 Pu 0.000 0.000 0.000
Pt1 Pt 0.000 0.000 0.500
O1 O 0.134 0.268 0.747
O2 O 0.134 0.866 0.747
O3 O 0.268 0.134 0.253
O4 O 0.732 0.866 0.747
O5 O 0.866 0.134 0.253
O6 O 0.866 0.732 0.253

# PBE CsPu2PtO8, relaxed
# SG = No. 147
# DOS(E_F) = 6.92 states/eV/f.u.
# Energy relative to the elements, uncorrected = -2131 kJ/mol of formula units
# Raw total energy = -8.1090 eV/atom
data_CsPu2PtO8
_cell_length_a 5.677
_cell_length_b 5.677
_cell_length_c 7.642
_cell_angle_alpha 90.00
_cell_angle_beta 90.00
_cell_angle_gamma 120.00
_symmetry_space_group_name_H-M 'P 1'
_symmetry_Int_Tables_number 1
_symmetry_space_group_name_Hall 'P 1'
loop_
_atom_site_label
_atom_site_type_symbol
_atom_site_fract_x
_atom_site_fract_y
_atom_site_fract_z
Cs1 Cs 0.000 0.000 0.000
Pu1 Pu 0.333 0.667 0.593
Pu2 Pu 0.667 0.333 0.407
Pt1 Pt 0.000 0.000 0.500
O1 O 0.075 0.722 0.380
O2 O 0.278 0.354 0.380
O3 O 0.333 0.667 0.838
O4 O 0.354 0.075 0.620
O5 O 0.646 0.925 0.380
O6 O 0.667 0.333 0.162
O7 O 0.722 0.646 0.620
O8 O 0.925 0.278 0.620

# PBE CsRb2PtO4, relaxed
# SG = No. 71
# DOS(E_F) = 0.14 states/eV/f.u.
# Energy relative to the elements, uncorrected = -820 kJ/mol of formula units
# Raw total energy = -4.6452 eV/atom
data_CsRb2PtO4
_cell_length_a 7.456
_cell_length_b 7.456
_cell_length_c 7.456
_cell_angle_alpha 146.37
_cell_angle_beta 126.94
_cell_angle_gamma 64.30
_symmetry_space_group_name_H-M 'P 1'
_symmetry_Int_Tables_number 1
_symmetry_space_group_name_Hall 'P 1'
loop_
_atom_site_label
_atom_site_type_symbol
_atom_site_fract_x
_atom_site_fract_y
_atom_site_fract_z
Cs1 Cs 0.000 0.000 0.000
Rb1 Rb 0.275 0.775 0.500
Rb2 Rb 0.725 0.225 0.500
Pt1 Pt 0.500 0.500 0.000
O1 O 0.189 0.392 0.797
O2 O 0.405 0.608 0.797
O3 O 0.595 0.392 0.203
O4 O 0.811 0.608 0.203

# PBE CsPtS2O8, relaxed
# SG = No. 12
# Energy relative to the elements, uncorrected = -1403 kJ/mol of formula units
# Raw total energy = -5.7800 eV/atom
data_CsPtS2O8
_cell_length_a 5.098
_cell_length_b 5.098
_cell_length_c 8.844
_cell_angle_alpha 91.88
_cell_angle_beta 91.88
_cell_angle_gamma 61.21
_symmetry_space_group_name_H-M 'P 1'
_symmetry_Int_Tables_number 1
_symmetry_space_group_name_Hall 'P 1'
loop_
_atom_site_label
_atom_site_type_symbol
_atom_site_fract_x
_atom_site_fract_y
_atom_site_fract_z
Cs1 Cs 0.000 0.000 0.000
Pt1 Pt 0.000 0.000 0.500
S1 S 0.377 0.377 0.681
S2 S 0.623 0.623 0.319
O1 O 0.246 0.719 0.672
O2 O 0.266 0.266 0.554
O3 O 0.281 0.754 0.328
O4 O 0.320 0.320 0.834
O5 O 0.680 0.680 0.166
O6 O 0.719 0.246 0.672
O7 O 0.734 0.734 0.446
O8 O 0.754 0.281 0.328

# PBE Cs2ScPtO4, relaxed
# SG = No. 70
# DOS(E_F) = 5.31 states/eV/f.u.
# Energy relative to the elements, uncorrected = -1173 kJ/mol of formula units
# Raw total energy = -5.7586 eV/atom
data_Cs2ScPtO4
_cell_length_a 13.294
_cell_length_b 11.720
_cell_length_c 7.455
_cell_angle_alpha 84.68
_cell_angle_beta 61.38
_cell_angle_gamma 33.94
_symmetry_space_group_name_H-M 'P 1'
_symmetry_Int_Tables_number 1
_symmetry_space_group_name_Hall 'P 1'
loop_
_atom_site_label
_atom_site_type_symbol
_atom_site_fract_x
_atom_site_fract_y
_atom_site_fract_z
Cs1 Cs 0.057 0.057 0.693
Cs2 Cs 0.307 0.307 0.943
Cs3 Cs 0.693 0.693 0.057
Cs4 Cs 0.943 0.943 0.307
Sc1 Sc 0.125 0.125 0.125
Sc2 Sc 0.875 0.875 0.875
Pt1 Pt 0.375 0.375 0.375
Pt2 Pt 0.625 0.625 0.625
O1 O 0.005 0.709 0.545
O2 O 0.241 0.545 0.709
O3 O 0.291 0.995 0.759
O4 O 0.455 0.759 0.995
O5 O 0.545 0.241 0.005
O6 O 0.709 0.005 0.241
O7 O 0.759 0.455 0.291
O8 O 0.995 0.291 0.455

| no. | V (Å³ per atom) |
| --- | --- |
| 1 | 17.90 |
| 2 | 21.38 |
| 3 | 17.78 |
| 4 | 22.67 |
| 5 | 16.78 |
| 6 | 27.87 |